The following is a PBE-GGA calculation of BaAs4P after structural relaxation, from the Alexandria database.

Values from the calculation:
Energy of formation from the pure elements in eV/f.u.: 0.1
Space-group type: F-43m, No. 216
Magnetization in Bohr magnetons per cell: 0.000
DOS(E_F) in states/eV per cell: 4.26

Cell lengths 5.941, 5.941, 5.941 Å; angles 60.00, 60.00, 60.00 degrees
Element x y z (fractional)
Ba (0.000, 0.000, 0.000)
As (0.393, 0.393, 0.393)
As (0.393, 0.393, 0.822)
As (0.393, 0.822, 0.393)
As (0.822, 0.393, 0.393)
P (0.750, 0.750, 0.750)